Here is Er2Pt9Rh after structural relaxation from the Alexandria database. Energies are from GGA-PBE.

Output
The space group is P4/mmm (123). The calculation puts the volume at 16.6 Å³/atom. The calculation puts the energy of formation at -0.6799 eV/atom.

Unit cell a=4.040 b=4.040 c=12.238 alpha=90.00 beta=90.00 gamma=90.00
Last column: magnetic moment on the atom in μB.
Element x y z (fractional)
Er: 0.000 0.000 0.331  0.00
Er: 0.000 0.000 0.669  0.00
Pt: 0.500 0.500 0.000  0.12
Pt: 0.500 0.500 0.329  0.02
Pt: 0.500 0.500 0.671  0.02
Pt: 0.500 0.000 0.159  0.13
Pt: 0.500 0.000 0.500  0.01
Pt: 0.500 0.000 0.841  0.13
Pt: 0.000 0.500 0.159  0.13
Pt: 0.000 0.500 0.500  0.01
Pt: 0.000 0.500 0.841  0.13
Rh: 0.000 0.000 0.000  0.58


Here is CrCuTc after structural relaxation from the Alexandria database. Energies are from GGA-PBE.

Output
The space group is Fmm2 (42). The calculation puts the volume at 13.1 Å³/atom. The calculation puts the energy of formation at 0.2684 eV/atom.

Unit cell a=6.626 b=6.463 c=2.570 alpha=82.26 beta=75.14 gamma=22.60
Element x y z (fractional)
Cr: 0.001 0.001 0.999
Cu: 0.338 0.338 0.662
Tc: 0.661 0.661 0.339


Here is RbMg2Mo after structural relaxation from the Alexandria database. Energies are from GGA-PBE.

Output
The space group is I4_1/amd (141). The calculation puts the volume at 42.1 Å³/atom. The calculation puts the energy of formation at 1.1867 eV/atom.

Unit cell a=5.850 b=5.850 c=10.672 alpha=74.09 beta=74.09 gamma=90.00
Last column: magnetic moment on the atom in μB.
Element x y z (fractional)
Mo: 0.000 0.000 0.000  3.08
Mo: 0.750 0.250 0.500  3.08
Mg: 0.876 0.125 0.250  -0.02
Mg: 0.874 0.625 0.250  -0.02
Mg: 0.375 0.124 0.750  0.00
Mg: 0.875 0.126 0.750  0.00
Rb: 0.500 0.500 0.000  0.01
Rb: 0.250 0.750 0.500  0.01


Here is CaNi2GeRu after structural relaxation from the Alexandria database. Energies are from GGA-PBE.

Output
The space group is P4/mmm (123). The calculation puts the volume at 17.5 Å³/atom. The calculation puts the energy of formation at 0.1882 eV/atom.

Unit cell a=4.365 b=4.586 c=4.365 alpha=90.00 beta=90.00 gamma=90.00
Element x y z (fractional)
Ru: 0.000 0.500 0.000
Ge: 0.000 0.000 0.000
Ca: 0.500 0.500 0.500
Ni: 0.000 0.000 0.500
Ni: 0.500 0.000 0.000


| no. | calculated density (g cm⁻³) |
| --- | --- |
| 1 | 18.24 |
| 2 | 9.02 |
| 3 | 2.27 |
| 4 | 6.29 |